Compound: KLa3Pa2N6
Source: Alexandria
Functional: PBE
Structure: optimized geometry

Results
DFT total energy in eV per atom: -8.344
E_form (uncorrected) in eV/atom: -1.28
Crystal system: monoclinic
Theoretical density in g/cm3: 7.8
Space-group type: No. 12

a b c (Å): 3.6715 7.3943 8.2297
angles (deg): 102.45 102.89 90.00
Last column: nearest neighbours and their distance in Å.
Fractional positions:
K (0.5000, 0.0000, 0.0000)  6 N 2.84-2.87
La (0.5000, 0.5000, 0.0000)  4 N 2.49
La (0.8337, 0.1592, 0.6674)  1 N 2.38
La (0.1663, 0.8408, 0.3326)  1 N 2.38
Pa (0.8303, 0.6665, 0.6605)  2 N 2.12-2.36
Pa (0.1697, 0.3335, 0.3395)  2 N 2.12-2.36
N (0.3174, 0.8754, 0.6347)  1 La 2.38, 2 Pa 2.44
N (0.6800, 0.5669, 0.3600)  3 Pa 2.36-2.50
N (0.6826, 0.1246, 0.3653)  1 La 2.38, 2 Pa 2.44
N (0.0349, 0.3012, 0.0699)  1 Pa 2.12
N (0.9651, 0.6988, 0.9301)  1 Pa 2.12
N (0.3200, 0.4331, 0.6400)  3 Pa 2.36-2.50